## Ac2CeAl (PBE)

Data for a relaxed Ac2CeAl crystal.

Lattice parameters (Å, degrees): 5.7232 5.7232 5.7232 60.00 60.00 60.00
Site moments in Bohr magnetons follow the coordinates.
Positions (direct):
Ac: 0.2500 0.2500 0.2500  0.02
Ac: 0.7500 0.7500 0.7500  0.02
Al: 0.5000 0.5000 0.5000  -0.01
Ce: 0.0000 0.0000 0.0000  0.67

Properties
polymorph energy (0 for the lowest one)	122	meV per atom
DFT formation energy	0.127	eV per atom
N(E_F)	9.2	states/eV/f.u.

***

## AcCeDyAl (PBE)

Data for a relaxed AcCeDyAl crystal.

Lattice parameters (Å, degrees): 5.5120 5.5120 5.5120 60.00 60.00 60.00
Site moments in Bohr magnetons follow the coordinates.
Positions (direct):
Ac: 0.7500 0.7500 0.7500  0.09
Al: 0.2500 0.2500 0.2500  -0.01
Ce: 0.0000 0.0000 0.0000  0.59
Dy: 0.5000 0.5000 0.5000  0.08

Properties
DFT formation energy	0.101	eV per atom
N(E_F)	9.0	states/eV/f.u.

***

## AcCeEuAl (PBE)

Data for a relaxed AcCeEuAl crystal.

Lattice parameters (Å, degrees): 5.6247 5.6247 5.6247 60.00 60.00 60.00
Site moments in Bohr magnetons follow the coordinates.
Positions (direct):
Eu: 0.0000 0.0000 0.0000  6.96
Ac: 0.7500 0.7500 0.7500  0.32
Al: 0.2500 0.2500 0.2500  -0.02
Ce: 0.5000 0.5000 0.5000  1.10

Properties
DFT formation energy	0.135	eV per atom
N(E_F)	9.8	states/eV/f.u.

***

## AcCeAl2Ga2 (PBE)

Data for a relaxed AcCeAl2Ga2 crystal.

Lattice parameters (Å, degrees): 4.3756 4.3756 8.9226 90.00 90.00 120.00
Site moments in Bohr magnetons follow the coordinates.
Positions (direct):
Ac: 0.0000 0.0000 0.0000  0.00
Ce: 0.0000 0.0000 0.5000  0.53
Al: 0.6667 0.3333 0.2685  0.00
Al: 0.3333 0.6667 0.7315  0.00
Ga: 0.6667 0.3333 0.7225  -0.01
Ga: 0.3333 0.6667 0.2775  -0.01

Properties
DFT formation energy	-0.519	eV per atom
N(E_F)	6.8	states/eV/f.u.

***

## Ac2Ce2AlGe4 (PBE)

Data for a relaxed Ac2Ce2AlGe4 crystal.

Lattice parameters (Å, degrees): 6.8114 6.8114 6.8114 99.98 114.42 114.42
Site moments in Bohr magnetons follow the coordinates.
Positions (direct):
Ac: 0.5000 0.7500 0.2500  0.03
Ac: 0.5000 0.2500 0.7500  0.03
Ce: 0.0000 0.6621 0.6621  0.58
Ce: 0.0000 0.3379 0.3379  0.58
Al: 0.0000 0.0000 0.0000  0.01
Ge: 0.0000 0.7562 0.2438  -0.01
Ge: 0.5124 0.7562 0.7562  -0.01
Ge: 0.0000 0.2438 0.7562  -0.01
Ge: 0.4876 0.2438 0.2438  -0.01

Properties
DFT formation energy	-0.349	eV per atom
N(E_F)	11.5	states/eV/f.u.

***

## AcCe2Al2Ge2 (PBE)

Data for a relaxed AcCe2Al2Ge2 crystal.

Lattice parameters (Å, degrees): 4.4266 4.4266 10.1939 77.46 77.46 60.00
Site moments in Bohr magnetons follow the coordinates.
Positions (direct):
Ac: 0.0000 0.0000 0.0000  0.01
Ce: 0.1403 0.1403 0.5791  0.87
Ce: 0.8597 0.8597 0.4209  0.87
Al: 0.5860 0.5860 0.2419  0.00
Al: 0.4140 0.4140 0.7581  0.00
Ge: 0.7413 0.7413 0.7761  0.00
Ge: 0.2587 0.2587 0.2239  0.00

Properties
DFT formation energy	-0.377	eV per atom
N(E_F)	11.2	states/eV/f.u.

***

## AcCeAlGe (PBE)

Data for a relaxed AcCeAlGe crystal.

Lattice parameters (Å, degrees): 5.3816 5.3816 5.3816 60.00 60.00 60.00
Site moments in Bohr magnetons follow the coordinates.
Positions (direct):
Ac: 0.2500 0.2500 0.2500  0.03
Ge: 0.5000 0.5000 0.5000  0.02
Ce: 0.7500 0.7500 0.7500  0.87
Al: 0.0000 0.0000 0.0000  0.01

Properties
DFT formation energy	-0.321	eV per atom
N(E_F)	7.5	states/eV/f.u.

***

## AcCeAlGe2 (PBE)

Data for a relaxed AcCeAlGe2 crystal.

Lattice parameters (Å, degrees): 4.5121 4.5121 7.0814 108.58 108.58 90.00
Site moments in Bohr magnetons follow the coordinates.
Positions (direct):
Ac: 0.0000 0.0000 0.0000  0.02
Ce: 0.7500 0.2500 0.5000  0.44
Al: 0.2500 0.7500 0.5000  0.01
Ge: 0.6044 0.6044 0.2088  0.00
Ge: 0.3956 0.3956 0.7912  0.00

Properties
DFT formation energy	-0.525	eV per atom
N(E_F)	7.0	states/eV/f.u.

***

## AcCeAl2Ge2 (PBE)

Data for a relaxed AcCeAl2Ge2 crystal.

Lattice parameters (Å, degrees): 4.3118 4.3118 8.9276 90.00 90.00 120.00
Site moments in Bohr magnetons follow the coordinates.
Positions (direct):
Ac: 0.0000 0.0000 0.0000  0.01
Ce: 0.0000 0.0000 0.5000  0.68
Al: 0.6667 0.3333 0.2685  0.00
Al: 0.3333 0.6667 0.7315  0.00
Ge: 0.6667 0.3333 0.7359  0.00
Ge: 0.3333 0.6667 0.2641  0.00

Properties
DFT formation energy	-0.593	eV per atom
N(E_F)	6.5	states/eV/f.u.

***

## AcCeAlHg (PBE)

Data for a relaxed AcCeAlHg crystal.

Lattice parameters (Å, degrees): 5.5222 5.5222 5.5222 60.00 60.00 60.00
Site moments in Bohr magnetons follow the coordinates.
Positions (direct):
Ac: 0.5000 0.5000 0.5000  0.09
Hg: 0.7500 0.7500 0.7500  0.03
Ce: 0.0000 0.0000 0.0000  0.94
Al: 0.2500 0.2500 0.2500  0.00

Properties
DFT formation energy	-0.239	eV per atom
N(E_F)	11.3	states/eV/f.u.

***

## AcCeHoAl (PBE)

Data for a relaxed AcCeHoAl crystal.

Lattice parameters (Å, degrees): 5.5040 5.5040 5.5040 60.00 60.00 60.00
Site moments in Bohr magnetons follow the coordinates.
Positions (direct):
Ac: 0.7500 0.7500 0.7500  0.09
Ho: 0.0000 0.0000 0.0000  0.08
Ce: 0.5000 0.5000 0.5000  0.59
Al: 0.2500 0.2500 0.2500  -0.01

Properties
DFT formation energy	0.104	eV per atom
N(E_F)	8.9	states/eV/f.u.

***

## AcCeAlIn (PBE)

Data for a relaxed AcCeAlIn crystal.

Lattice parameters (Å, degrees): 5.5385 5.5385 5.5385 60.00 60.00 60.00
Site moments in Bohr magnetons follow the coordinates.
Positions (direct):
Ac: 0.0000 0.0000 0.0000  0.00
Al: 0.7500 0.7500 0.7500  0.01
Ce: 0.5000 0.5000 0.5000  0.80
In: 0.2500 0.2500 0.2500  0.01

Properties
DFT formation energy	-0.245	eV per atom
N(E_F)	8.0	states/eV/f.u.

***

## AcLaCeAl (PBE)

Data for a relaxed AcLaCeAl crystal.

Lattice parameters (Å, degrees): 5.6275 5.6275 5.6275 60.00 60.00 60.00
Site moments in Bohr magnetons follow the coordinates.
Positions (direct):
Ac: 0.2500 0.2500 0.2500  0.10
Al: 0.7500 0.7500 0.7500  -0.01
Ce: 0.0000 0.0000 0.0000  0.78
La: 0.5000 0.5000 0.5000  0.08

Properties
DFT formation energy	0.094	eV per atom
N(E_F)	10.8	states/eV/f.u.

***

## LiAcCeAl (PBE)

Data for a relaxed LiAcCeAl crystal.

Lattice parameters (Å, degrees): 5.4324 5.4324 5.4324 60.00 60.00 60.00
Site moments in Bohr magnetons follow the coordinates.
Positions (direct):
Ac: 0.2500 0.2500 0.2500  0.00
Al: 0.5000 0.5000 0.5000  -0.01
Ce: 0.7500 0.7500 0.7500  0.79
Li: 0.0000 0.0000 0.0000  0.01

Properties
DFT formation energy	-0.033	eV per atom
N(E_F)	8.5	states/eV/f.u.

***

## AcCeLuAl (PBE)

Data for a relaxed AcCeLuAl crystal.

Lattice parameters (Å, degrees): 5.4760 5.4760 5.4760 60.00 60.00 60.00
Site moments in Bohr magnetons follow the coordinates.
Positions (direct):
Ac: 0.5000 0.5000 0.5000  -0.10
Lu: 0.7500 0.7500 0.7500  -0.07
Al: 0.0000 0.0000 0.0000  0.01
Ce: 0.2500 0.2500 0.2500  -0.58

Properties
DFT formation energy	0.120	eV per atom
N(E_F)	8.5	states/eV/f.u.

***

## Ac3CeAl2O9 (PBE)

Data for a relaxed Ac3CeAl2O9 crystal.

Lattice parameters (Å, degrees): 5.6587 5.6587 7.4835 90.00 90.00 120.00
Site moments in Bohr magnetons follow the coordinates.
Positions (direct):
Ac: 0.3333 0.6667 0.7229  0.01
Ac: 0.0000 0.0000 0.0000  0.00
Ac: 0.6667 0.3333 0.2771  0.01
Ce: 0.0000 0.0000 0.5000  0.75
Al: 0.3333 0.6667 0.1627  0.00
Al: 0.6667 0.3333 0.8373  0.00
O: 0.8269 0.1731 0.7052  -0.01
O: 0.8269 0.6538 0.7052  -0.01
O: 0.3462 0.1731 0.7052  -0.01
O: 0.6538 0.8269 0.2948  -0.01
O: 0.1731 0.3462 0.2948  -0.01
O: 0.1731 0.8269 0.2948  -0.01
O: 0.5000 0.0000 0.0000  0.00
O: 0.0000 0.5000 0.0000  0.00
O: 0.5000 0.5000 0.0000  0.00

Properties
ΔE_f (raw)	-47.28	eV/f.u.
N(E_F)	4.5	states/eV/f.u.

***

## Ac2CeAlO6 (PBE)

Data for a relaxed Ac2CeAlO6 crystal.

Lattice parameters (Å, degrees): 5.1647 5.5906 5.5906 90.00 90.00 90.00
Site moments in Bohr magnetons follow the coordinates.
Positions (direct):
Ac: 0.0174 0.5000 0.0000  0.01
Ac: 0.0174 0.0000 0.5000  0.01
Ce: 0.5619 0.5000 0.5000  0.84
Al: 0.6000 0.0000 0.0000  0.00
O: 0.7194 0.2294 0.2294  -0.01
O: 0.7194 0.2294 0.7706  -0.01
O: 0.1232 0.5000 0.5000  -0.01
O: 0.2492 0.0000 0.0000  0.00
O: 0.7194 0.7706 0.7706  -0.01
O: 0.7194 0.7706 0.2294  -0.01

Properties
ΔE_f (raw)	-31.30	eV/f.u.
N(E_F)	4.7	states/eV/f.u.

***

## AcCePaAl (PBE)

Data for a relaxed AcCePaAl crystal.

Lattice parameters (Å, degrees): 5.4350 5.4350 5.4350 60.00 60.00 60.00
Site moments in Bohr magnetons follow the coordinates.
Positions (direct):
Ac: 0.5000 0.5000 0.5000  0.07
Pa: 0.2500 0.2500 0.2500  0.89
Al: 0.7500 0.7500 0.7500  -0.01
Ce: 0.0000 0.0000 0.0000  0.75

Properties
DFT formation energy	0.308	eV per atom
N(E_F)	11.2	states/eV/f.u.

***

## Ac2CeAlPd6 (PBE)

Data for a relaxed Ac2CeAlPd6 crystal.

Lattice parameters (Å, degrees): 8.7789 5.7365 6.9113 65.46 51.94 89.98
Site moments in Bohr magnetons follow the coordinates.
Positions (direct):
Ac: 0.2753 0.7333 0.5330  -0.01
Ac: 0.7247 0.2667 0.4670  -0.01
Ce: 0.5000 0.5000 0.0000  -0.26
Al: 0.0000 0.0000 0.0000  0.00
Pd: 0.2363 0.7518 0.0087  0.00
Pd: 0.7633 0.7599 0.9921  0.00
Pd: 0.0948 0.2453 0.5081  0.00
Pd: 0.7637 0.2482 0.9913  0.00
Pd: 0.2367 0.2401 0.0079  0.00
Pd: 0.9052 0.7547 0.4919  0.00

Properties
DFT formation energy	-0.647	eV per atom
N(E_F)	8.6	states/eV/f.u.

***

## Ac2CeAlPt6 (PBE)

Data for a relaxed Ac2CeAlPt6 crystal.

Lattice parameters (Å, degrees): 7.1111 6.9575 8.8491 51.77 50.31 83.47
Positions (direct):
Ac: 0.2647 0.7346 0.4519
Ac: 0.7353 0.2654 0.5481
Ce: 0.5000 0.5000 0.0000
Al: 0.0000 0.0000 0.0000
Pt: 0.2461 0.7552 0.8551
Pt: 0.7619 0.7492 0.0062
Pt: 0.2532 0.2400 0.5159
Pt: 0.7539 0.2448 0.1449
Pt: 0.2381 0.2508 0.9938
Pt: 0.7468 0.7600 0.4841

Properties
DFT formation energy	-0.897	eV per atom
N(E_F)	6.3	states/eV/f.u.